#a
Below is a geometry-optimized Ac3Zn2Sn structure, with properties calculated at the PBE level.

Unit cell a=4.589 b=8.725 c=9.661 alpha=90.00 beta=90.00 gamma=90.00
Atoms (fractional coordinates):
Sn 0.000 0.954 0.952
Ac 0.500 0.173 0.126
Ac 0.500 0.204 0.757
Zn 0.000 0.976 0.285
Zn 0.000 0.476 0.715
Ac 0.500 0.673 0.874
Sn 0.000 0.454 0.048
Zn 0.500 0.549 0.565
Ac 0.000 0.845 0.591
Zn 0.500 0.049 0.435
Ac 0.500 0.704 0.243
Ac 0.000 0.345 0.409

calculated volume = 32.24 A^3/atom



#b
Below is a geometry-optimized Ac3Zn2Sn structure, with properties calculated at the PBE level.

Unit cell a=3.921 b=3.921 c=12.242 alpha=90.00 beta=90.00 gamma=90.00
Atoms (fractional coordinates):
Zn 0.500 0.500 0.154
Sn 0.500 0.500 0.500
Zn 0.500 0.500 0.846
Ac 0.000 0.000 0.321
Ac 0.000 0.000 0.000
Ac 0.000 0.000 0.679

calculated volume = 31.38 A^3/atom



Here is how they stack up, most stable first: #b, #a.



#a
Below is a geometry-optimized Ac2ZrSn structure, with properties calculated at the PBE level.

Unit cell a=4.902 b=5.104 c=5.104 alpha=90.00 beta=90.00 gamma=90.00
Atoms (fractional coordinates):
Sn 0.500 0.500 0.500
Ac 0.000 0.000 0.500
Ac 0.000 0.500 0.000
Zr 0.500 0.000 0.000

calculated volume = 31.92 A^3/atom



#b
Below is a geometry-optimized Ac2ZrSn structure, with properties calculated at the PBE level.

Unit cell a=3.580 b=3.580 c=12.407 alpha=81.71 beta=81.71 gamma=60.00
Atoms (fractional coordinates):
Sn 0.500 0.500 0.500
Zr 0.000 0.000 0.000
Ac 0.911 0.911 0.267
Ac 0.089 0.089 0.733

calculated volume = 33.94 A^3/atom



Here is how they stack up, most stable first: #a, #b.



#a
Below is a geometry-optimized Sr5Ac structure, with properties calculated at the PBE level.

Unit cell a=6.609 b=6.616 c=7.745 alpha=115.29 beta=90.00 gamma=90.00
Atoms (fractional coordinates):
Ac 0.000 0.000 0.000
Sr 0.500 0.838 0.675
Sr 0.500 0.162 0.325
Sr 0.000 0.666 0.333
Sr 0.000 0.334 0.667
Sr 0.500 0.500 0.000

calculated volume = 51.03 A^3/atom



#b
Below is a geometry-optimized Sr5Ac structure, with properties calculated at the PBE level.

Unit cell a=4.156 b=4.156 c=18.083 alpha=90.00 beta=90.00 gamma=90.00
Atoms (fractional coordinates):
Sr 0.000 0.000 0.342
Sr 0.500 0.500 0.171
Sr 0.500 0.500 0.829
Sr 0.000 0.000 0.000
Ac 0.500 0.500 0.500
Sr 0.000 0.000 0.658

calculated volume = 52.04 A^3/atom



Here is how they stack up, most stable first: #b, #a.



#a
Below is a geometry-optimized Sr4Ac3Te8 structure, with properties calculated at the PBE level.

Unit cell a=9.472 b=9.489 c=9.489 alpha=89.72 beta=120.23 gamma=120.23
Atoms (fractional coordinates):
Te 0.504 0.252 0.252
Sr 0.000 0.000 0.000
Te 0.003 0.249 0.249
Te 0.496 0.748 0.748
Te 0.000 0.750 0.250
Te 0.000 0.250 0.750
Te 0.500 0.249 0.751
Sr 0.500 0.000 0.000
Ac 0.500 0.500 0.000
Sr 0.000 0.500 0.000
Te 0.500 0.751 0.249
Sr 0.000 0.000 0.500
Ac 0.500 0.500 0.500
Te 0.997 0.751 0.751
Ac 0.500 0.000 0.500

calculated volume = 40.02 A^3/atom



#b
Below is a geometry-optimized Sr4Ac3Te8 structure, with properties calculated at the PBE level.

Unit cell a=9.450 b=9.450 c=10.177 alpha=62.33 beta=62.33 gamma=60.00
Atoms (fractional coordinates):
Te 0.748 0.239 0.264
Te 0.239 0.748 0.264
Te 0.235 0.235 0.294
Sr 0.500 0.500 0.500
Ac 0.500 0.000 0.500
Ac 0.000 0.500 0.500
Te 0.761 0.252 0.736
Sr 0.645 0.645 0.066
Te 0.252 0.252 0.736
Sr 0.000 0.000 0.000
Te 0.748 0.748 0.264
Ac 0.000 0.000 0.500
Te 0.252 0.761 0.736
Sr 0.355 0.355 0.934
Te 0.765 0.765 0.706

calculated volume = 44.30 A^3/atom



Here is how they stack up, most stable first: #a, #b.